Here is LiTlRh at its PBEsol-relaxed geometry from Alexandria. Energies are from SCAN.

a b c (Å): 4.288 4.288 2.971
angles (deg): 90.00 90.00 120.00
Fractional coordinates of all 3 atoms:
Li: 0.000 0.000 0.000
Tl: 0.667 0.333 0.312
Rh: 0.333 0.667 0.758

Calculated values
Its total magnetic moment is 0.000 μB per formula unit. For the density of states at the Fermi level, the calculation gives 1.08 states/eV/f.u. For the energy above the most stable polymorph in this dataset, the calculation gives 0.021 eV per atom. The calculation puts the formation energy at -117 meV/atom.


Here is LiTlRh at its PBEsol-relaxed geometry from Alexandria. Energies are from SCAN.

a b c (Å): 4.355 4.355 4.355
angles (deg): 60.00 60.00 60.00
Fractional coordinates of all 3 atoms:
Li: 0.000 0.000 0.000
Tl: 0.750 0.750 0.750
Rh: 0.500 0.500 0.500

Calculated values
Its total magnetic moment is 0.000 μB per formula unit. For the density of states at the Fermi level, the calculation gives 1.16 states/eV/f.u. For the energy above the most stable polymorph in this dataset, the calculation gives 0.229 eV per atom. The calculation puts the formation energy at 91 meV/atom.


Here is LiTlRh at its PBEsol-relaxed geometry from Alexandria. Energies are from SCAN.

a b c (Å): 5.003 5.003 5.003
angles (deg): 142.02 142.02 54.79
Fractional coordinates of all 3 atoms:
Li: 0.000 0.000 0.000
Tl: 0.319 0.319 0.000
Rh: 0.641 0.641 0.000

Calculated values
Its total magnetic moment is 0.000 μB per formula unit. For the density of states at the Fermi level, the calculation gives 0.87 states/eV/f.u. For the energy above the most stable polymorph in this dataset, the calculation gives 0.000 eV per atom. The calculation puts the formation energy at -138 meV/atom.


Here is Li3TlRh at its PBEsol-relaxed geometry from Alexandria. Energies are from SCAN.

a b c (Å): 4.586 4.586 4.586
angles (deg): 90.00 90.00 90.00
Fractional coordinates of all 5 atoms:
Li: 0.000 0.000 0.500
Li: 0.000 0.500 0.000
Li: 0.500 0.000 0.000
Tl: 0.500 0.500 0.500
Rh: 0.000 0.000 0.000

Calculated values
Its total magnetic moment is 0.000 μB per formula unit. For the density of states at the Fermi level, the calculation gives 2.03 states/eV/f.u. The calculation puts the formation energy at 182 meV/atom.


Here is LiTl2Rh2 at its PBEsol-relaxed geometry from Alexandria. Energies are from SCAN.

a b c (Å): 7.671 7.671 3.109
angles (deg): 90.00 90.00 90.00
Fractional coordinates of all 10 atoms:
Li: 0.000 0.000 0.000
Li: 0.500 0.500 0.000
Tl: 0.160 0.340 0.000
Tl: 0.340 0.840 0.000
Tl: 0.660 0.160 0.000
Tl: 0.840 0.660 0.000
Rh: 0.137 0.637 0.500
Rh: 0.363 0.137 0.500
Rh: 0.637 0.863 0.500
Rh: 0.863 0.363 0.500

Calculated values
Its total magnetic moment is 0.000 μB per formula unit. For the density of states at the Fermi level, the calculation gives 1.99 states/eV/f.u. The calculation puts the formation energy at -22 meV/atom.


Here is LiTlRh at its PBEsol-relaxed geometry from Alexandria. Energies are from SCAN.

a b c (Å): 4.846 4.846 4.846
angles (deg): 143.10 134.70 59.80
Fractional coordinates of all 3 atoms:
Li: 0.000 0.000 0.000
Tl: 0.321 0.321 0.000
Rh: 0.654 0.654 0.000

Calculated values
Its total magnetic moment is 0.000 μB per formula unit. For the density of states at the Fermi level, the calculation gives 1.14 states/eV/f.u. For the energy above the most stable polymorph in this dataset, the calculation gives 0.014 eV per atom. The calculation puts the formation energy at -123 meV/atom.


Here is LiTmRh2 at its PBEsol-relaxed geometry from Alexandria. Energies are from SCAN.

a b c (Å): 4.422 4.422 4.422
angles (deg): 60.00 60.00 60.00
Fractional coordinates of all 4 atoms:
Li: 0.000 0.000 0.000
Tm: 0.500 0.500 0.500
Rh: 0.250 0.250 0.250
Rh: 0.750 0.750 0.750

Calculated values
Its total magnetic moment is 0.000 μB per formula unit. For the density of states at the Fermi level, the calculation gives 1.36 states/eV/f.u. The calculation puts the formation energy at -639 meV/atom.


Here is LiTm2Rh at its PBEsol-relaxed geometry from Alexandria. Energies are from SCAN.

a b c (Å): 4.792 4.792 4.792
angles (deg): 60.00 60.00 60.00
Fractional coordinates of all 4 atoms:
Li: 0.000 0.000 0.000
Tm: 0.250 0.250 0.250
Tm: 0.750 0.750 0.750
Rh: 0.500 0.500 0.500

Calculated values
Its total magnetic moment is 0.000 μB per formula unit. For the density of states at the Fermi level, the calculation gives 1.87 states/eV/f.u. The calculation puts the formation energy at -633 meV/atom.


Q: The lowest density of states at the Fermi level belongs to which entry?
A: number 3


Q: What is the density of states at the Fermi level in the eighth record?
A: 1.87 states/eV/f.u.